SCAN Na2BeAgAs, single point on PBEsol structure; energy of formation = 15 kJ per mole of atoms; M_tot = 0.00 μB/cell; VASP energy = -0.4672 hartree per atom; crystal system = tetragonal
1.0
-2.002 -2.062 2.644
3.573 -4.147 -0.528
3.086 2.148 4.012
Na As Ag Be
2 1 1 1
direct
0.000 0.000 0.500
0.000 0.500 0.000
0.500 0.000 0.000
0.500 0.500 0.500
0.000 0.000 0.000

---

SCAN Li2AgBiAs, single point on PBEsol structure; energy of formation = -6 kJ per mole of atoms; M_tot = 0.00 μB/cell; VASP energy = -0.9940 hartree per atom; crystal system = tetragonal
1.0
-1.219 -3.951 -2.178
-0.540 -2.112 4.133
-4.769 1.416 0.100
As Bi Ag Li
1 1 1 2
direct
0.000 0.000 0.000
0.500 0.500 0.500
0.000 0.000 0.500
0.000 0.500 0.000
0.500 0.000 0.000

---

SCAN AgBiAsP2, single point on PBEsol structure; energy of formation = 113 kJ per mole of atoms; M_tot = 0.00 μB/cell; VASP energy = -1.0665 hartree per atom; crystal system = tetragonal
1.0
4.621 0.000 0.000
0.000 4.621 0.000
0.000 0.000 5.609
P As Bi Ag
2 1 1 1
direct
0.000 0.500 0.000
0.500 0.000 0.000
0.500 0.500 0.500
0.000 0.000 0.500
0.000 0.000 0.000

---

SCAN AgBiAs2Se, single point on PBEsol structure; M_tot = 2.30 μB/cell; raw formation energy = 1.0972 eV per atom; VASP energy = -1.2121 hartree per atom; crystal system = tetragonal
1.0
-4.788 1.175 2.147
-0.965 -5.241 0.717
2.270 0.256 4.922
As Se Bi Ag
2 1 1 1
direct
0.000 0.500 0.000
0.500 0.000 0.000
0.000 0.000 0.500
0.000 0.000 0.000
0.500 0.500 0.500

---

SCAN Ag2AsBr, single point on PBEsol structure; M_tot = 0.00 μB/cell; raw formation energy = 0.4189 eV per atom; VASP energy = -0.9252 hartree per atom; polymorph energy (0 for the lowest one) = 157 meV per atom; crystal system = tetragonal
1.0
4.303 0.000 0.000
0.000 4.303 0.000
-2.152 -2.152 4.212
As Br Ag
1 1 2
direct
0.500 0.500 0.000
0.000 0.000 0.000
0.750 0.250 0.500
0.250 0.750 0.500

---

SCAN Ag2AsBr, single point on PBEsol structure; M_tot = 0.00 μB/cell; raw formation energy = 0.2617 eV per atom; VASP energy = -0.9310 hartree per atom; polymorph energy (0 for the lowest one) = 0 meV per atom; crystal system = orthorhombic
1.0
-2.754 -1.391 1.205
2.068 -4.480 -0.445
1.142 1.660 4.526
As Br Ag
1 1 2
direct
0.500 0.000 0.000
0.500 0.500 0.500
0.000 0.500 0.000
0.000 0.000 0.500

---

SCAN Ag2As2Br, single point on PBEsol structure; M_tot = 0.00 μB/cell; raw formation energy = 0.1917 eV per atom; VASP energy = -0.8939 hartree per atom; crystal system = tetragonal
1.0
4.755 0.000 0.000
0.000 4.755 0.000
-2.378 -2.378 4.701
As Br Ag
2 1 2
direct
0.374 0.374 0.747
0.626 0.626 0.253
0.000 0.000 0.000
0.250 0.750 0.500
0.750 0.250 0.500

---

SCAN CaAgAsBr2, single point on PBEsol structure; M_tot = 1.12 μB/cell; raw formation energy = -0.4080 eV per atom; VASP energy = -0.7510 hartree per atom; crystal system = tetragonal
1.0
-0.361 -3.765 3.373
2.635 -3.141 -3.225
4.486 1.524 2.182
As Ca Br Ag
1 1 2 1
direct
0.500 0.000 0.000
0.500 0.500 0.500
0.000 0.000 0.500
0.000 0.500 0.000
0.000 0.000 0.000

---

SCAN Cs2AgAsBr6, single point on PBEsol structure; M_tot = 0.00 μB/cell; raw formation energy = -1.1329 eV per atom; VASP energy = -0.9381 hartree per atom; crystal system = cubic
1.0
-2.299 -6.166 -3.869
2.400 -6.937 2.098
-4.879 -4.919 3.207
Cs As Br Ag
2 1 6 1
direct
0.750 0.750 0.750
0.250 0.250 0.250
0.000 0.000 0.000
0.755 0.245 0.245
0.755 0.755 0.245
0.245 0.755 0.755
0.755 0.245 0.755
0.245 0.755 0.245
0.245 0.245 0.755
0.500 0.500 0.500

---

SCAN AgAsHBr2, single point on PBEsol structure; M_tot = 0.00 μB/cell; VASP energy = -0.6776 hartree per atom; crystal system = tetragonal
1.0
3.470 0.000 0.000
0.000 5.128 0.000
0.000 0.000 5.128
H As Br Ag
1 1 2 1
direct
0.000 0.000 0.000
0.500 0.000 0.000
0.000 0.000 0.500
0.000 0.500 0.000
0.500 0.500 0.500

---

SCAN Na2AgAsBr6, single point on PBEsol structure; M_tot = 0.00 μB/cell; raw formation energy = -0.8250 eV per atom; VASP energy = -0.6798 hartree per atom; crystal system = cubic
1.0
-3.793 -6.455 -0.652
-0.464 -4.694 5.851
-6.541 -0.894 3.591
Na Ag As Br
2 1 1 6
direct
0.750 0.750 0.750
0.250 0.250 0.250
0.500 0.500 0.500
0.000 0.000 0.000
0.754 0.246 0.246
0.754 0.754 0.246
0.246 0.754 0.754
0.754 0.246 0.754
0.246 0.754 0.246
0.246 0.246 0.754

---

SCAN NiAgAs2Br, single point on PBEsol structure; M_tot = 0.30 μB/cell; raw formation energy = 1.2349 eV per atom; VASP energy = -0.7439 hartree per atom; crystal system = tetragonal
1.0
-3.813 -1.227 -2.783
0.747 -4.704 1.050
-3.085 0.413 4.046
Ni As Br Ag
1 2 1 1
direct
0.500 0.500 0.500
0.000 0.500 0.000
0.500 0.000 0.000
0.000 0.000 0.500
0.000 0.000 0.000